Material: CuAg2Pd
Method: DFT, PBE
State: optimized geometry

a = 5.1778 Å, b = 6.9484 Å, c = 5.1256 Å
α = 46.70°, β = 87.66°, γ = 86.55°
Positions (direct):
Ag 0.0555 0.0522 0.2001
Ag 0.4417 0.7475 0.1951
Ag 0.5583 0.2525 0.8049
Ag 0.9445 0.9478 0.7999
Pd 0.2501 0.5531 0.8913
Pd 0.7499 0.4469 0.1087
Cu 0.5000 0.0000 0.5000
Cu 0.0000 0.5000 0.5000

- Total DFT energy (no corrections): -29.06 eV per cell
- Calculated formation energy: 116 meV/atom
- Density of states at the Fermi level: 2.87 states/eV per cell